# Mg2ZrTa2 PBE relaxed
# - Offset from the most stable computed form: 0 meV/atom
# - Formation enthalpy at 0 K: 0.462 eV/atom
# - VASP energy: -6.626 eV per atom
data_Mg2ZrTa2
_space_group_name_H-M_alt 'P 1'
_space_group_IT_number 1
_cell_length_a 8.293
_cell_length_b 8.293
_cell_length_c 2.968
_cell_angle_alpha 90.00
_cell_angle_beta 90.00
_cell_angle_gamma 90.00
loop_
_space_group_symop_operation_xyz
'x,y,z'
loop_
_atom_site_label
_atom_site_fract_x
_atom_site_fract_y
_atom_site_fract_z
Mg1 0.181 0.681 0.500
Mg2 0.681 0.819 0.500
Mg3 0.819 0.319 0.500
Mg4 0.319 0.181 0.500
Zr1 0.000 0.000 0.000
Zr2 0.500 0.500 0.000
Ta1 0.387 0.887 0.000
Ta2 0.887 0.613 0.000
Ta3 0.613 0.113 0.000
Ta4 0.113 0.387 0.000

---

# MgZrTa2 PBE relaxed
# - Formation enthalpy at 0 K: 0.258 eV/atom
# - VASP energy: -8.204 eV per atom
data_MgZrTa2
_space_group_name_H-M_alt 'P 1'
_space_group_IT_number 1
_cell_length_a 5.187
_cell_length_b 5.187
_cell_length_c 5.646
_cell_angle_alpha 84.63
_cell_angle_beta 84.63
_cell_angle_gamma 31.89
loop_
_space_group_symop_operation_xyz
'x,y,z'
loop_
_atom_site_label
_atom_site_fract_x
_atom_site_fract_y
_atom_site_fract_z
Mg1 0.253 0.253 0.245
Ta1 0.001 0.001 0.987
Ta2 0.747 0.747 0.765
Zr1 0.499 0.499 0.503

---

# MgZrTa2 PBE relaxed
# - Formation enthalpy at 0 K: 0.194 eV/atom
# - VASP energy: -8.268 eV per atom
data_MgZrTa2
_space_group_name_H-M_alt 'P 1'
_space_group_IT_number 1
_cell_length_a 4.683
_cell_length_b 2.939
_cell_length_c 6.049
_cell_angle_alpha 74.71
_cell_angle_beta 90.00
_cell_angle_gamma 90.00
loop_
_space_group_symop_operation_xyz
'x,y,z'
loop_
_atom_site_label
_atom_site_fract_x
_atom_site_fract_y
_atom_site_fract_z
Mg1 0.500 0.770 0.765
Ta1 0.000 0.061 0.017
Ta2 0.500 0.195 0.243
Zr1 0.000 0.475 0.475

---

# Tb5Mg3 PBE relaxed
# - Formation enthalpy at 0 K: -0.051 eV/atom
# - VASP energy: -3.543 eV per atom
data_Tb5Mg3
_space_group_name_H-M_alt 'P 1'
_space_group_IT_number 1
_cell_length_a 3.731
_cell_length_b 3.731
_cell_length_c 16.463
_cell_angle_alpha 90.00
_cell_angle_beta 90.00
_cell_angle_gamma 90.00
loop_
_space_group_symop_operation_xyz
'x,y,z'
loop_
_atom_site_label
_atom_site_fract_x
_atom_site_fract_y
_atom_site_fract_z
Tb1 0.000 0.000 0.236
Tb2 0.500 0.500 0.620
Tb3 0.500 0.500 0.380
Tb4 0.000 0.000 0.764
Tb5 0.000 0.000 0.000
Mg1 0.500 0.500 0.117
Mg2 0.500 0.500 0.883
Mg3 0.000 0.000 0.500

---

# TbMg4 PBE relaxed
# - Formation enthalpy at 0 K: -0.050 eV/atom
# - VASP energy: -2.252 eV per atom
data_TbMg4
_space_group_name_H-M_alt 'P 1'
_space_group_IT_number 1
_cell_length_a 3.407
_cell_length_b 5.144
_cell_length_c 7.809
_cell_angle_alpha 109.34
_cell_angle_beta 102.52
_cell_angle_gamma 90.04
loop_
_space_group_symop_operation_xyz
'x,y,z'
loop_
_atom_site_label
_atom_site_fract_x
_atom_site_fract_y
_atom_site_fract_z
Tb1 0.500 0.000 0.500
Mg1 0.787 0.787 0.075
Mg2 0.213 0.213 0.925
Mg3 0.101 0.602 0.704
Mg4 0.899 0.398 0.296

---

# Tb3Mg2 PBE relaxed
# - Formation enthalpy at 0 K: 0.055 eV/atom
# - VASP energy: -3.361 eV per atom
data_Tb3Mg2
_space_group_name_H-M_alt 'P 1'
_space_group_IT_number 1
_cell_length_a 7.073
_cell_length_b 9.090
_cell_length_c 9.090
_cell_angle_alpha 90.00
_cell_angle_beta 90.00
_cell_angle_gamma 90.00
loop_
_space_group_symop_operation_xyz
'x,y,z'
loop_
_atom_site_label
_atom_site_fract_x
_atom_site_fract_y
_atom_site_fract_z
Tb1 0.250 0.000 0.500
Tb2 0.750 0.000 0.500
Tb3 0.250 0.500 0.000
Tb4 0.750 0.500 0.000
Tb5 0.000 0.334 0.334
Tb6 0.000 0.666 0.666
Tb7 0.500 0.166 0.834
Tb8 0.500 0.834 0.166
Tb9 0.000 0.181 0.819
Tb10 0.000 0.819 0.181
Tb11 0.500 0.681 0.681
Tb12 0.500 0.319 0.319
Mg1 0.230 0.122 0.122
Mg2 0.230 0.878 0.878
Mg3 0.730 0.378 0.622
Mg4 0.730 0.622 0.378
Mg5 0.270 0.378 0.622
Mg6 0.270 0.622 0.378
Mg7 0.770 0.122 0.122
Mg8 0.770 0.878 0.878

---

Question: VASP energy of number 5 (TbMg4)?
Answer: -2.252 eV per atom

---

Question: The lowest formation enthalpy at 0 K belongs to which entry?
Answer: Tb5Mg3